Entry from the Open Quantum Materials Database: a geometry-optimized LaZr2Tc2 structure (PBE-GGA).

As for the uncorrected energy: -85.86 eV per cell. The value obtained for the formation energy is -0.19 eV per formula unit. For the density, the calculation gives 7.50 g/cm³. As for the crystal system: tetragonal.

Cell: 4.462 4.462 11.507 Å, 90.00 90.00 90.00°
Space group I4/mmm (No. 139)
Unique sites:
La: 0.000 0.000 0.000 (multiplicity 2)
Zr: 0.000 0.500 0.250 (multiplicity 4)
Tc: 0.000 0.000 0.392 (multiplicity 4)